This record from Alexandria via LeMat-Bulk describes an optimized crystal structure of MgTe2Pb. The functional is GGA-PBE.

Space group: No. 123
DOS at the Fermi energy (states/eV per cell): 0.6
E_tot (eV per atom): -3.440
V (Å³ per cell): 126
ΔE_f (raw) (meV/atom): -543
Density (g/cm3): 6.4

Cell and atoms, written as POSCAR:
```
MgTe2Pb
1.0
-3.3031 -0.8601 -2.8899
-0.9203 -3.7943 2.1812
-4.0333 3.0982 3.6878
Te Pb Mg
2 1 1
Direct
0.0000 0.0000 0.8748
0.5000 0.5000 0.3749
0.5000 0.5000 0.8750
0.0000 0.0000 0.3753
```

=====

This record from Alexandria via LeMat-Bulk describes an optimized crystal structure of MgTe2Pb. The functional is GGA-PBE.

Space group: No. 8
E_tot (eV per atom): -3.372
V (Å³ per cell): 141
ΔE_f (raw) (meV/atom): -475
Density (g/cm3): 5.7

Cell and atoms, written as POSCAR:
```
MgTe2Pb
1.0
7.2214 0.0635 -0.0204
5.8105 4.2884 -0.0204
-0.0164 -0.0055 4.5967
Pb Te Mg
1 2 1
Direct
0.2252 0.2252 0.1467
0.7365 0.7365 0.6555
0.0000 0.0000 0.1602
0.5382 0.5382 0.5376
```

=====

This record from Alexandria via LeMat-Bulk describes an optimized crystal structure of MgTePb4. The functional is GGA-PBE.

Space group: No. 216
DOS at the Fermi energy (states/eV per cell): 3.3
E_tot (eV per atom): -3.090
V (Å³ per cell): 194
ΔE_f (raw) (meV/atom): 172
Density (g/cm3): 8.4

Cell and atoms, written as POSCAR:
```
MgTePb4
1.0
0.0000 4.5933 4.5933
4.5933 0.0000 4.5933
4.5933 4.5933 0.0000
Pb Mg Te
4 1 1
Direct
0.3743 0.3743 0.3743
0.3743 0.3743 0.8772
0.3743 0.8772 0.3743
0.8772 0.3743 0.3743
0.0000 0.0000 0.0000
0.7500 0.7500 0.7500
```

=====

This record from Alexandria via LeMat-Bulk describes an optimized crystal structure of MgTe2Pb. The functional is GGA-PBE.

Space group: No. 65
DOS at the Fermi energy (states/eV per cell): 1.5
E_tot (eV per atom): -3.181
V (Å³ per cell): 124
ΔE_f (raw) (meV/atom): -285
Density (g/cm3): 6.5

Cell and atoms, written as POSCAR:
```
MgTe2Pb
1.0
4.0097 -0.0004 0.0000
-1.4886 3.7231 0.0000
0.0000 0.0000 8.2994
Mg Te Pb
1 2 1
Direct
0.5000 0.5000 0.2500
0.0000 0.0000 0.4736
0.0000 0.0000 0.0264
0.5000 0.5000 0.7500
```

=====

This record from Alexandria via LeMat-Bulk describes an optimized crystal structure of MgTe3Pb2. The functional is GGA-PBE.

Space group: No. 70
E_tot (eV per atom): -3.600
V (Å³ per cell): 776
ΔE_f (raw) (meV/atom): -527
Density (g/cm3): 7.0

Cell and atoms, written as POSCAR:
```
MgTe3Pb2
1.0
-5.4191 -5.2419 2.0734
6.8139 -3.6233 -1.2594
2.6044 6.1411 12.5420
Pb Te Mg
8 12 4
Direct
0.5016 0.0016 0.0032
0.8313 0.3313 0.6627
0.5813 0.5813 0.1627
0.6687 0.1687 0.3373
0.9984 0.4984 0.9968
0.2516 0.2516 0.5032
0.4187 0.4187 0.8373
0.7484 0.7484 0.4968
0.2237 0.2237 0.0000
0.0858 0.0668 0.6758
0.0263 0.5263 0.5000
0.3911 0.4100 0.3242
0.5900 0.6089 0.6758
0.7763 0.7763 0.0000
0.1642 0.6832 0.8242
0.9332 0.9142 0.3242
0.3168 0.8358 0.1758
0.4737 0.9737 0.5000
0.8589 0.3400 0.1758
0.6600 0.1411 0.8242
0.1663 0.6663 0.3326
0.9163 0.9163 0.8326
0.3337 0.8337 0.6674
0.0837 0.0837 0.1674
```

=====

This record from Alexandria via LeMat-Bulk describes an optimized crystal structure of MgTe2Pb. The functional is GGA-PBE.

Space group: No. 10
DOS at the Fermi energy (states/eV per cell): 1.7
E_tot (eV per atom): -3.252
V (Å³ per cell): 125
ΔE_f (raw) (meV/atom): -356
Density (g/cm3): 6.5

Cell and atoms, written as POSCAR:
```
MgTe2Pb
1.0
-1.4366 0.8280 -3.6251
-0.5657 -4.0360 -0.6977
-7.3144 -1.8708 2.4713
Te Pb Mg
2 1 1
Direct
0.0000 0.3628 0.4899
0.0000 0.1372 0.0101
0.5000 0.7500 0.7500
0.5000 0.2500 0.2500
```

=====

This record from Alexandria via LeMat-Bulk describes an optimized crystal structure of Mg2TePb. The functional is GGA-PBE.

Space group: No. 12
DOS at the Fermi energy (states/eV per cell): 1.3
E_tot (eV per atom): -2.685
V (Å³ per cell): 104
ΔE_f (raw) (meV/atom): -176
Density (g/cm3): 6.1

Cell and atoms, written as POSCAR:
```
Mg2TePb
1.0
5.3123 0.0944 -0.2601
-1.1824 5.1799 -0.2601
0.2857 0.3648 3.7449
Pb Te Mg
1 1 2
Direct
0.5000 0.0000 0.5000
0.0000 0.5000 0.5000
0.0000 0.0000 0.0000
0.5000 0.5000 0.0000
```

=====

This record from Alexandria via LeMat-Bulk describes an optimized crystal structure of Mg2TePb. The functional is GGA-PBE.

Space group: No. 99
DOS at the Fermi energy (states/eV per cell): 1.5
E_tot (eV per atom): -2.796
V (Å³ per cell): 113
ΔE_f (raw) (meV/atom): -286
Density (g/cm3): 5.6

Cell and atoms, written as POSCAR:
```
Mg2TePb
1.0
3.9266 0.0000 0.0000
0.0000 3.9289 0.0000
0.0000 0.0000 7.3527
Pb Te Mg
1 1 2
Direct
0.0000 0.0000 0.4487
0.5000 0.5000 0.8456
0.5000 0.5000 0.2324
0.0000 0.0000 0.9733
```

=====

This record from Alexandria via LeMat-Bulk describes an optimized crystal structure of MgTlTePb2. The functional is GGA-PBE.

Space group: No. 123
DOS at the Fermi energy (states/eV per cell): 2.8
E_tot (eV per atom): -2.563
V (Å³ per cell): 183
ΔE_f (raw) (meV/atom): 340
Density (g/cm3): 7.0

Cell and atoms, written as POSCAR:
```
MgTlTePb2
1.0
5.8673 0.0000 0.0000
0.0000 5.3126 0.0000
0.0000 0.0000 5.8673
Pb Te Tl Mg
2 1 1 1
Direct
0.5000 0.0000 0.0000
0.0000 0.0000 0.5000
0.5000 0.5000 0.5000
0.0000 0.0000 0.0000
0.0000 0.5000 0.0000
```

=====

This record from Alexandria via LeMat-Bulk describes an optimized crystal structure of MgZn2TePb. The functional is GGA-PBE.

Space group: No. 123
DOS at the Fermi energy (states/eV per cell): 2.1
E_tot (eV per atom): -1.751
V (Å³ per cell): 173
ΔE_f (raw) (meV/atom): 448
Density (g/cm3): 4.7

Cell and atoms, written as POSCAR:
```
MgZn2TePb
1.0
5.2348 0.0000 0.0000
0.0000 6.2989 0.0000
0.0000 0.0000 5.2348
Pb Zn Mg Te
1 2 1 1
Direct
0.0000 0.5000 0.0000
0.5000 0.0000 0.0000
0.0000 0.0000 0.5000
0.5000 0.5000 0.5000
0.0000 0.0000 0.0000
```

=====

This record from Alexandria via LeMat-Bulk describes an optimized crystal structure of ThMg2Pb2. The functional is GGA-PBE.

Space group: No. 194
DOS at the Fermi energy (states/eV per cell): 6.7
E_tot (eV per atom): -3.527
V (Å³ per cell): 311
Density (g/cm3): 7.4
Calculated formation energy (meV/atom): 78

Cell and atoms, written as POSCAR:
```
ThMg2Pb2
1.0
5.2759 0.0000 0.0000
-2.6380 4.5691 0.0000
0.0000 0.0000 12.9115
Mg Th Pb
4 2 4
Direct
0.6667 0.3333 0.4069
0.3333 0.6667 0.9069
0.6667 0.3333 0.0931
0.3333 0.6667 0.5931
0.0000 0.0000 0.2500
0.0000 0.0000 0.7500
0.0000 0.0000 0.5000
0.6667 0.3333 0.7500
0.0000 0.0000 0.0000
0.3333 0.6667 0.2500
```

=====

This record from Alexandria via LeMat-Bulk describes an optimized crystal structure of ThMg4Pb. The functional is GGA-PBE.

Space group: No. 216
DOS at the Fermi energy (states/eV per cell): 5.7
E_tot (eV per atom): -2.830
V (Å³ per cell): 155
Density (g/cm3): 5.7
Calculated formation energy (meV/atom): 88

Cell and atoms, written as POSCAR:
```
ThMg4Pb
1.0
-0.1709 -4.6581 3.8266
-2.1811 -5.3196 -1.8206
3.7241 -4.6794 -0.7776
Pb Mg Th
1 4 1
Direct
0.2500 0.2500 0.2500
0.6249 0.6249 0.6249
0.6249 0.1254 0.6249
0.1254 0.6249 0.6249
0.6249 0.6249 0.1254
0.0000 0.0000 0.0000
```

=====

This record from Alexandria via LeMat-Bulk describes an optimized crystal structure of ThMgPb2. The functional is GGA-PBE.

Space group: No. 160
DOS at the Fermi energy (states/eV per cell): 2.8
E_tot (eV per atom): -4.134
V (Å³ per cell): 127
Density (g/cm3): 8.8
Calculated formation energy (meV/atom): -26

Cell and atoms, written as POSCAR:
```
ThMgPb2
1.0
-1.2206 1.3607 -4.2516
-0.5202 -3.1282 -3.3706
-7.1732 -1.2905 -0.8724
Pb Th Mg
2 1 1
Direct
0.0911 0.0911 0.7266
0.2446 0.2446 0.2661
0.6703 0.6703 0.9890
0.4939 0.4939 0.5183
```

=====

This record from Alexandria via LeMat-Bulk describes an optimized crystal structure of ThMgPb. The functional is GGA-PBE.

Space group: No. 139
DOS at the Fermi energy (states/eV per cell): 2.5
E_tot (eV per atom): -4.508
V (Å³ per cell): 169
Density (g/cm3): 9.1
Calculated formation energy (meV/atom): -267

Cell and atoms, written as POSCAR:
```
ThMgPb
1.0
4.5257 0.0000 0.0000
0.0000 4.5257 0.0000
-2.2629 -2.2629 8.2595
Th Pb Mg
2 2 2
Direct
0.6709 0.6709 0.3419
0.3291 0.3291 0.6581
0.1300 0.1300 0.2600
0.8700 0.8700 0.7400
0.0000 0.5000 0.0000
0.5000 0.0000 0.0000
```